The following is a DFT calculation (PBE) of a geometry-optimized YSBr3 structure.

Cell lengths 5.2457, 5.2457, 5.2457 Å; angles 90.00, 90.00, 90.00 degrees
Space group Pm-3m (No. 221)
Inequivalent atoms, fractional coordinates:
1 Y 0.0000 0.0000 0.0000 [1 per cell]
2 S 0.5000 0.5000 0.5000 [1 per cell]
3 Br 0.0000 0.5000 0.5000 [3 per cell]

- ΔE to the lowest computed polymorph (eV/f.u.) = 6.83
- DOS at the Fermi energy (states/eV/cell) = 5.4
- E_tot (Ry/atom) = -0.229
- formation energy without anion corrections (meV per atom) = 3